VASP calculation (PBE with a Hubbard U) on an optimized crystal structure of Li2MnCoO4.

Cell: 5.0669 5.1569 5.9550 Å, 107.35 89.99 99.19°
With the nearest neighbours (Å) after each atom.
Fractional positions:
Li 0.4917 0.4975 0.7450  6 O 2.06-2.25
Li 0.0000 0.5000 0.0000  6 O 2.08-2.23
Li 0.5083 0.5025 0.2550  6 O 2.06-2.25
Li 0.0000 0.5000 0.5000  6 O 2.06-2.30
Mn 0.2501 0.9984 0.8743  6 O 1.92-1.99
Mn 0.7499 0.0016 0.1257  6 O 1.92-1.99
Co 0.2508 0.0018 0.3821  6 O 2.08-2.14
Co 0.7492 0.9982 0.6179  6 O 2.08-2.14
O 0.6056 0.2200 0.9449  2 Mn 1.95-1.99, 1 Li 2.10, 1 Co 2.14
O 0.1089 0.2230 0.1669  2 Mn 1.96-1.99, 1 Li 2.11, 1 Co 2.14
O 0.6385 0.2370 0.4144  1 Mn 1.93, 2 Li 2.06-2.07, 2 Co 2.10-2.11
O 0.1360 0.2295 0.7070  1 Mn 1.92, 2 Li 2.06-2.08, 2 Co 2.08-2.10
O 0.3615 0.7630 0.5856  1 Mn 1.93, 2 Li 2.06-2.07, 2 Co 2.10-2.11
O 0.8911 0.7770 0.8331  2 Mn 1.96-1.99, 1 Li 2.11, 1 Co 2.14
O 0.3944 0.7800 0.0551  2 Mn 1.95-1.99, 1 Li 2.10, 1 Co 2.14
O 0.8640 0.7705 0.2930  1 Mn 1.92, 2 Li 2.06-2.08, 2 Co 2.08-2.10

## Properties
Energy above the lowest structure with this stoichiometry, meV/atom: 7
Theoretical density, g/cm³: 4.3
Crystal system: triclinic
Symmetry: P-1 (2)